1.
First-principles (PBE) data for a relaxed structure of PrYNiPd, as listed in Alexandria.

abc: 4.500 3.868 10.468
angles: 90.00 90.00 90.00
Space group Amm2 (No. 38)
Inequivalent atoms, fractional coordinates:
Pr (0.000, 0.000, 0.000)
Y (0.500, 0.000, 0.722)
Ni (0.000, 0.000, 0.277)
Pd (0.500, 0.000, 0.434)

Properties
The value obtained for the energy relative to the elements is -579.9 meV/atom. As for the energy above the lowest structure with this stoichiometry: 0 meV per atom. The crystal system is orthorhombic.

---

2.
First-principles (PBE) data for a relaxed structure of ZrO, as listed in Alexandria.

abc: 3.106 3.106 5.464
angles: 90.00 90.00 90.00
Space group P4/nmm (No. 129, origin choice 2)
Inequivalent atoms, fractional coordinates:
Zr (0.250, 0.250, 0.232)
O (0.250, 0.250, 0.656)

Properties
The crystal system is tetragonal. The calculation puts the formation energy from raw total energies at -2.46 eV/atom.

---

3.
First-principles (PBE) data for a relaxed structure of LiY2As, as listed in Alexandria.

abc: 3.9604 3.9604 24.7110
angles: 90.00 90.00 120.00
Space group R-3m (No. 166, hexagonal axes)
Inequivalent atoms, fractional coordinates:
Li (0.0000, 0.0000, 0.0000)
Y (0.0000, 0.0000, 0.2342)
As (0.0000, 0.0000, 0.5000)

Properties
The value obtained for the energy relative to the elements is -587.9 meV/atom. The crystal system is trigonal.